1.
5
Lattice="4.0802 0.0000 0.0000 0.0000 4.9785 0.0000 0.0000 0.0000 4.9785" Properties=species:S:1:pos:R:3 comment="RbHfP2O | Alexandria via LeMat-Bulk | GGA-PBEsol | optimized geometry" final_energy_ev_per_atom=-4.322 formation_energy_uncorrected_ev_per_atom=1.350 space_group="P4/mmm (123)" pbc="T T T"
P 0.0000 0.0000 2.4893
P 0.0000 2.4893 0.0000
Hf 2.0401 2.4893 2.4893
O 2.0401 0.0000 0.0000
Rb 0.0000 0.0000 0.0000


2.
5
Lattice="3.7748 0.0000 0.0000 0.0000 3.7748 0.0000 0.0000 0.0000 4.8176" Properties=species:S:1:pos:R:3 comment="HfPRuO2 | Alexandria via LeMat-Bulk | GGA-PBEsol | optimized geometry" final_energy_ev_per_atom=-7.997 formation_energy_uncorrected_ev_per_atom=-0.604 space_group="P4/mmm (123)" pbc="T T T"
Ru 0.0000 0.0000 0.0000
Hf 1.8874 1.8874 2.4088
O 0.0000 1.8874 0.0000
O 1.8874 0.0000 0.0000
P 0.0000 0.0000 2.4088


3.
5
Lattice="-1.3737 0.0545 3.6339 -3.4691 -1.1776 -1.2937 1.4907 -5.0944 0.6399" Properties=species:S:1:pos:R:3 comment="HfTaPO2 | Alexandria via LeMat-Bulk | GGA-PBEsol | optimized geometry" final_energy_ev_per_atom=-8.997 formation_energy_uncorrected_ev_per_atom=-1.128 space_group="P4/mmm (123)" pbc="T T T"
P 0.7454 -2.5472 0.3199
Hf 0.0000 0.0000 0.0000
O -1.7345 -0.5888 -0.6469
O -0.6868 0.0272 1.8169
Ta -1.6760 -3.1088 1.4900


4.
5
Lattice="-0.8346 -1.0808 3.4848 3.6091 0.2797 0.9512 -0.7145 4.7698 1.3082" Properties=species:S:1:pos:R:3 comment="HfTcPO2 | Alexandria via LeMat-Bulk | GGA-PBEsol | optimized geometry" final_energy_ev_per_atom=-8.474 formation_energy_uncorrected_ev_per_atom=-0.862 space_group="P4/mmm (123)" pbc="T T T"
P -0.3572 2.3849 0.6541
Hf 1.0300 1.9844 2.8721
Tc 0.0000 0.0000 0.0000
O 1.8046 0.1399 0.4756
O -0.4173 -0.5404 1.7424